VASP calculation (PBE-GGA) on a geometry-optimized Cs3LaCu2I9 structure.

Cell lengths 8.368, 8.368, 10.403 Å; angles 90.00, 90.00, 120.00 degrees
Positions (direct):
I (0.825, 0.650, 0.678)
I (0.175, 0.350, 0.322)
I (0.175, 0.825, 0.322)
I (0.500, 0.000, 0.000)
I (0.350, 0.175, 0.678)
I (0.000, 0.500, 0.000)
I (0.825, 0.175, 0.678)
I (0.500, 0.500, 0.000)
I (0.650, 0.825, 0.322)
La (0.000, 0.000, 0.500)
Cs (0.000, 0.000, 0.000)
Cs (0.333, 0.667, 0.678)
Cs (0.667, 0.333, 0.322)
Cu (0.333, 0.667, 0.134)
Cu (0.667, 0.333, 0.866)

Values from the calculation:
Crystal system   trigonal



VASP calculation (PBE-GGA) on a geometry-optimized CsLaCu2I6 structure.

Cell lengths 9.646, 9.646, 10.359 Å; angles 100.22, 100.22, 106.95 degrees
Positions (direct):
I (0.461, 0.906, 0.775)
I (0.783, 0.798, 0.409)
I (0.094, 0.539, 0.725)
I (0.640, 0.403, 0.567)
I (0.798, 0.783, 0.909)
I (0.539, 0.094, 0.225)
I (0.906, 0.461, 0.275)
I (0.202, 0.217, 0.091)
I (0.217, 0.202, 0.591)
I (0.360, 0.597, 0.433)
I (0.403, 0.640, 0.067)
I (0.597, 0.360, 0.933)
La (0.444, 0.556, 0.750)
La (0.556, 0.444, 0.250)
Cu (0.394, 0.139, 0.757)
Cu (0.606, 0.861, 0.243)
Cu (0.861, 0.606, 0.743)
Cu (0.139, 0.394, 0.257)
Cs (0.861, 0.139, 0.750)
Cs (0.139, 0.861, 0.250)

Values from the calculation:
Crystal system   monoclinic



VASP calculation (PBE-GGA) on a geometry-optimized CsLi2Cu2I6 structure.

Cell lengths 8.740, 8.863, 9.469 Å; angles 117.77, 94.19, 52.85 degrees
Positions (direct):
Li (0.757, 0.302, 0.909)
Li (0.243, 0.698, 0.091)
I (0.996, 0.883, 0.620)
I (0.043, 0.593, 0.878)
I (0.004, 0.117, 0.380)
I (0.957, 0.407, 0.122)
I (0.516, 0.328, 0.118)
I (0.484, 0.672, 0.882)
Cu (0.816, 0.272, 0.208)
Cu (0.184, 0.728, 0.792)
Cs (0.500, 0.000, 0.500)

Values from the calculation:
Crystal system   triclinic



VASP calculation (PBE-GGA) on a geometry-optimized Cs2LiCuI6 structure.

Cell lengths 8.203, 8.203, 8.208 Å; angles 60.02, 60.02, 90.00 degrees
Positions (direct):
Cs (0.750, 0.250, 0.500)
Cs (0.250, 0.750, 0.500)
I (0.771, 0.771, 0.458)
I (0.752, 0.752, 0.000)
I (0.248, 0.248, 0.000)
I (0.752, 0.248, 0.000)
I (0.248, 0.752, 0.000)
I (0.229, 0.229, 0.542)
Li (0.500, 0.500, 0.000)
Cu (0.000, 0.000, 0.000)

Values from the calculation:
Crystal system   tetragonal



VASP calculation (PBE-GGA) on a geometry-optimized CsLi3Cu4I12 structure.

Cell lengths 9.659, 9.659, 9.659 Å; angles 103.60, 103.60, 103.60 degrees
Positions (direct):
I (0.500, 0.088, 0.912)
I (0.664, 0.500, 0.336)
I (0.088, 0.912, 0.500)
I (0.923, 0.244, 0.340)
I (0.500, 0.336, 0.664)
I (0.244, 0.340, 0.923)
I (0.336, 0.664, 0.500)
I (0.340, 0.923, 0.244)
I (0.756, 0.077, 0.660)
I (0.660, 0.756, 0.077)
I (0.912, 0.500, 0.088)
I (0.077, 0.660, 0.756)
Cu (0.500, 0.925, 0.075)
Cu (0.500, 0.500, 0.500)
Cu (0.925, 0.075, 0.500)
Cu (0.075, 0.500, 0.925)
Li (0.000, 0.564, 0.436)
Li (0.436, 0.000, 0.564)
Li (0.564, 0.436, 0.000)
Cs (0.000, 0.000, 0.000)

Values from the calculation:
Crystal system   trigonal



VASP calculation (PBE-GGA) on a geometry-optimized Cs2LiCuI structure.

Cell lengths 7.185, 5.335, 7.185 Å; angles 90.00, 90.00, 90.00 degrees
Positions (direct):
Li (0.500, 0.500, 0.500)
Cu (0.000, 0.000, 0.000)
Cs (0.500, 0.000, 0.000)
Cs (0.000, 0.000, 0.500)
I (0.000, 0.500, 0.000)

Values from the calculation:
Crystal system   tetragonal



VASP calculation (PBE-GGA) on a geometry-optimized CsLiCu2I4 structure.

Cell lengths 7.230, 7.695, 7.695 Å; angles 75.00, 61.98, 61.98 degrees
Positions (direct):
I (0.575, 0.500, 0.826)
I (0.901, 0.500, 0.174)
I (0.099, 0.826, 0.500)
I (0.425, 0.174, 0.500)
Cu (0.869, 0.631, 0.631)
Cu (0.131, 0.369, 0.369)
Cs (0.000, 0.000, 0.000)
Li (0.500, 0.500, 0.500)

Values from the calculation:
Crystal system   orthorhombic



VASP calculation (PBE-GGA) on a geometry-optimized CsLiCuI3 structure.

Cell lengths 9.215, 9.215, 8.140 Å; angles 77.07, 77.07, 54.98 degrees
Positions (direct):
Li (0.956, 0.956, 0.239)
Li (0.044, 0.044, 0.761)
I (0.209, 0.209, 0.710)
I (0.314, 0.809, 0.198)
I (0.191, 0.686, 0.802)
I (0.686, 0.191, 0.802)
I (0.809, 0.314, 0.198)
I (0.791, 0.791, 0.290)
Cu (0.266, 0.734, 0.500)
Cu (0.734, 0.266, 0.500)
Cs (0.273, 0.273, 0.214)
Cs (0.727, 0.727, 0.786)

Values from the calculation:
Crystal system   monoclinic



VASP calculation (PBE-GGA) on a geometry-optimized Cs2LiCu2I6 structure.

Cell lengths 7.797, 8.466, 9.259 Å; angles 115.35, 90.00, 117.42 degrees
Positions (direct):
Cu (0.931, 0.862, 0.729)
Cu (0.069, 0.138, 0.271)
I (0.749, 0.497, 0.660)
I (0.218, 0.918, 0.228)
I (0.782, 0.082, 0.772)
I (0.700, 0.918, 0.228)
I (0.300, 0.082, 0.772)
I (0.251, 0.503, 0.340)
Cs (0.291, 0.581, 0.790)
Cs (0.709, 0.419, 0.210)
Li (0.500, 0.000, 0.500)

Values from the calculation:
Crystal system   monoclinic



VASP calculation (PBE-GGA) on a geometry-optimized CsLiCuI4 structure.

Cell lengths 7.065, 7.705, 11.115 Å; angles 90.00, 106.55, 90.00 degrees
Positions (direct):
I (0.482, 0.750, 0.495)
I (0.070, 0.996, 0.727)
I (0.930, 0.004, 0.273)
I (0.518, 0.250, 0.505)
I (0.930, 0.496, 0.273)
I (0.070, 0.504, 0.727)
I (0.669, 0.250, 0.897)
I (0.331, 0.750, 0.103)
Cu (0.822, 0.250, 0.695)
Cu (0.178, 0.750, 0.305)
Cs (0.746, 0.750, 0.920)
Cs (0.254, 0.250, 0.080)
Li (0.668, 0.750, 0.309)
Li (0.332, 0.250, 0.691)

Values from the calculation:
Crystal system   monoclinic



DFT total energy readings, ordered: -44.844, -32.509, -30.205, -25.080, -51.401, -9.396, -23.097, -16.813, -30.151, -18.693 eV/f.u.